Material: RbHO3
Method: DFT, PBE
State: relaxed Values from VASP.

## Properties
calculated density: 2.063 Mg/m³
total DFT energy (no corrections): -11.33 eV per cell
total magnetization: 0.800 μB/atom

```
&SYSTEM
  ibrav = 0, nat = 5, ntyp = 3
/
ATOMIC_SPECIES
H 1.01 H.upf
O 16.00 O.upf
Rb 85.47 Rb.upf
CELL_PARAMETERS angstrom
-1.1412 -4.5931 0.5604
1.6412 -0.9414 -4.3741
4.3263 -0.8544 1.8071
ATOMIC_POSITIONS angstrom
H 2.4132 -3.1945 -1.0033
O 0.8206 -0.4707 -2.1871
O 2.1632 -0.4272 0.9036
O -0.5706 -2.2965 0.2802
Rb 0.0000 0.0000 0.0000
```